30
Lattice="7.238 0.000 0.000 0.000 6.621 0.000 -0.314 0.000 9.891" Properties=species:S:1:pos:R:3 comment="YV3Se2ClO8 (PBE with a Hubbard U, relaxed)" crystal_system=monoclinic dft_energy_ev_per_atom=-6.725 space_group="P2_1/m, No. 11" mass_density_g_cm3=3.946 pbc="T T T"
Y 1.603 1.655 2.385
Y 5.320 4.965 7.506
V 1.910 4.965 7.339
V 3.619 0.000 0.000
V 3.462 0.000 4.945
V 3.619 3.310 0.000
V 3.462 3.310 4.945
V 5.013 1.655 2.551
Se 0.600 4.965 0.529
Se 0.515 4.965 4.238
Se 6.409 1.655 5.652
Se 6.323 1.655 9.362
Cl 2.431 1.655 8.045
Cl 4.492 4.965 1.846
O 0.239 4.965 8.663
O 0.363 4.965 5.982
O 1.629 3.598 0.834
O 1.629 6.333 0.834
O 1.569 3.608 3.982
O 1.569 6.323 3.982
O 3.380 1.655 3.859
O 3.500 1.655 1.261
O 3.423 4.965 8.630
O 3.543 4.965 6.031
O 5.354 0.298 5.909
O 5.354 3.012 5.909
O 5.295 0.288 9.057
O 5.295 3.023 9.057
O 6.561 1.655 3.909
O 6.684 1.655 1.228